CsSnBr2Cl: relaxed, GGA-PBE.

Geometry as POSCAR:
```
CsSnBr2Cl
1.0
5.908 0.000 0.000
0.000 5.908 0.000
0.000 0.000 5.602
Cs Sn Br Cl
1 1 2 1
direct
0.000 0.000 0.000
0.500 0.500 0.500
0.000 0.500 0.500
0.500 0.000 0.500
0.500 0.500 0.000
```

Values from the calculation:
The value obtained for the formation energy (no corrections) is -6.47 eV per formula unit. The energy above the lowest structure with this stoichiometry comes out at 2 meV per atom. As for the calculated volume: 39.11 A^3/atom. The magnetic moment comes out at 0.0 μB/f.u. Its space group is P4/mmm, No. 123.